This record from Alexandria describes Pm4Nd3Sm after structural relaxation. The functional is PBE.

The space group is Pmna (No. 53) and the conventional cell measures 10.344, 7.320 and 7.319 Å, with angles of 90.00, 90.00 and 90.00 degrees. The inequivalent atoms are Pm at (0.000, 0.000, 0.000), Pm at (0.000, 0.500, 0.500), Pm at (0.250, 0.249, 0.250), Nd at (0.000, 0.500, 0.000), Nd at (0.250, 0.249, 0.750) and Sm at (0.000, 0.000, 0.500).

The value obtained for the energy above the most stable polymorph in this dataset is 0.000 eV per atom. Its uncorrected energy is -37.9 eV/f.u. The value obtained for the calculated density is 7.0 g/cm3. The energy of formation from the pure elements comes out at 1.3 kJ per mole of atoms.